Entry from Alexandria via LeMat-Bulk: BaYSnOs2 after structural relaxation (GGA-PBE).

Computed properties:
**E**: -5.509 eV per atom
**Total magnetization**: 0.0000 μB/atom
**Formation energy**: 7.31 eV/f.u.

Cell: 5.0176 5.0176 5.6611 Å, 90.00 90.00 90.00°
Space group P4/mmm (No. 123)
Inequivalent atoms, fractional coordinates:
1 Ba 0.0000 0.0000 0.0000 (multiplicity 1)
2 Y 0.5000 0.5000 0.0000 (multiplicity 1)
3 Sn 0.0000 0.0000 0.5000 (multiplicity 1)
4 Os 0.0000 0.5000 0.5000 (multiplicity 2)


Entry from Alexandria via LeMat-Bulk: Ba2SrOs after structural relaxation (GGA-PBE).

Computed properties:
**E**: -3.598 eV per atom
**Total magnetization**: 0.2159 μB/atom
**Formation energy**: 2.37 eV/f.u.
**Energy above the most stable polymorph in this dataset**: 0.122 eV per atom

Cell: 5.3625 5.3763 11.1025 Å, 90.00 90.00 90.00°
Space group Cmm2 (No. 35)
Inequivalent atoms, fractional coordinates:
1 Ba 0.0000 0.0000 0.0000 (multiplicity 2)
2 Ba 0.0000 0.5000 0.3497 (multiplicity 2)
3 Sr 0.0000 0.5000 0.6692 (multiplicity 2)
4 Os 0.0000 0.0000 0.5144 (multiplicity 2)


Entry from Alexandria via LeMat-Bulk: Ba2SrOs after structural relaxation (GGA-PBE).

Computed properties:
**E**: -3.652 eV per atom
**Total magnetization**: 0.0000 μB/atom
**Formation energy**: 2.15 eV/f.u.
**Energy above the most stable polymorph in this dataset**: 0.069 eV per atom

Cell: 3.9192 5.0436 17.4534 Å, 90.00 90.00 90.00°
Space group Amm2 (No. 38)
Inequivalent atoms, fractional coordinates:
1 Ba 0.0000 0.0000 0.0000 (multiplicity 2)
2 Ba 0.5000 0.0000 0.3054 (multiplicity 2)
3 Sr 0.5000 0.0000 0.6454 (multiplicity 2)
4 Os 0.0000 0.0000 0.1648 (multiplicity 2)


Entry from Alexandria via LeMat-Bulk: BaSrOs after structural relaxation (GGA-PBE).

Computed properties:
**E**: -4.090 eV per atom
**Total magnetization**: 0.0000 μB/atom
**Formation energy**: 2.56 eV/f.u.
**Energy above the most stable polymorph in this dataset**: 0.155 eV per atom

Cell: 5.1004 5.1004 3.8372 Å, 90.00 90.00 120.00°
Space group P3m1 (No. 156)
Inequivalent atoms, fractional coordinates:
1 Ba 0.0000 0.0000 0.0000 (multiplicity 1)
2 Sr 0.3333 0.6667 0.5260 (multiplicity 1)
3 Os 0.6667 0.3333 0.1089 (multiplicity 1)